(1)
The following is a PBE-GGA calculation of an optimized crystal structure of Pm2DyTlHg4, from Alexandria.

It has space group R-3m (No. 166, hexagonal axes), with a = 5.2512 Å, b = 5.2512 Å, c = 26.6736 Å, α = 90.00°, β = 90.00° and γ = 120.00°. The asymmetric unit holds Pm at (0.0000, 0.0000, 0.2417), Dy at (0.0000, 0.0000, 0.0000), Tl at (0.0000, 0.0000, 0.5000), Hg at (0.0000, 0.0000, 0.1183) and Hg at (0.0000, 0.0000, 0.3660).


(2)
The following is a PBE-GGA calculation of an optimized crystal structure of PmDy2TmHg4, from Alexandria.

It has space group R-3m (No. 166, hexagonal axes), with a = 5.2722 Å, b = 5.2722 Å, c = 25.9872 Å, α = 90.00°, β = 90.00° and γ = 120.00°. The asymmetric unit holds Pm at (0.0000, 0.0000, 0.0000), Dy at (0.0000, 0.0000, 0.2490), Tm at (0.0000, 0.0000, 0.5000), Hg at (0.0000, 0.0000, 0.1268) and Hg at (0.0000, 0.0000, 0.3775).


(3)
The following is a PBE-GGA calculation of an optimized crystal structure of PmDyTmHg, from Alexandria.

It has space group F-43m (No. 216), with a = 7.652 Å, b = 7.652 Å, c = 7.652 Å, α = 90.00°, β = 90.00° and γ = 90.00°. The asymmetric unit holds Pm at (0.000, 0.000, 0.000), Dy at (0.250, 0.250, 0.750), Tm at (0.250, 0.250, 0.250) and Hg at (0.000, 0.000, 0.500).


(4)
The following is a PBE-GGA calculation of an optimized crystal structure of PmDyTmHg, from Alexandria.

It has space group P4mm (No. 99), with a = 3.610 Å, b = 3.610 Å, c = 8.898 Å, α = 90.00°, β = 90.00° and γ = 90.00°. The asymmetric unit holds Pm at (0.000, 0.000, 0.000), Dy at (0.500, 0.500, 0.284), Tm at (0.500, 0.500, 0.719) and Hg at (0.000, 0.000, 0.507).


| no. | E_tot (eV per cell) | Fermi-level density of states (states/eV/cell) | formation energy from the elements (eV/atom) |
| --- | --- | --- | --- |
| 1 | -63.13 | 15.2 | -0.421 |
| 2 | -70.23 | 25.2 | -0.472 |
| 3 | -56.70 | 25.8 | -0.012 |
| 4 | -15.07 | 3.9 | -0.236 |